10
Lattice="8.069 0.000 0.000 0.000 8.069 0.000 0.000 0.000 3.765" Properties=species:S:1:pos:R:3 comment="BaSi2Ge2, optimized geometry, DFT GGA-PBE" sg="P4/mbm, No. 127" dos_at_fermi_per_ev_atom=0.215 e_above_lowest_polymorph_mev_per_atom=166 pbc="T T T"
Ba 0.000 0.000 0.000
Ba 4.035 4.035 0.000
Si 0.875 3.160 0.000
Si 3.160 7.194 0.000
Si 4.909 0.875 0.000
Si 7.194 4.909 0.000
Ge 1.053 5.088 1.882
Ge 2.982 1.053 1.882
Ge 5.088 7.016 1.882
Ge 7.016 2.982 1.882